# 1
{
  "formula": "AlRhF2",
  "functional": "GGA-PBEsol",
  "state": "optimized geometry",
  "sg": "No. 225",
  "dft_energy_ev_per_fu": -18.65,
  "raw_formation_energy_ev_per_atom": -0.641,
  "cell": [[5.760, 0.000, 0.000], [0.000, 5.760, 0.000], [0.000, 0.000, 5.760]],
  "species": ["Al", "Al", "Al", "Al", "Rh", "Rh", "Rh", "Rh", "F", "F", "F", "F", "F", "F", "F", "F"],
  "fractional_positions": [[0.000, 0.000, 0.000], [0.000, 0.500, 0.500], [0.500, 0.000, 0.500], [0.500, 0.500, 0.000], [0.000, 0.000, 0.500], [0.000, 0.500, 0.000], [0.500, 0.000, 0.000], [0.500, 0.500, 0.500], [0.250, 0.250, 0.250], [0.250, 0.250, 0.750], [0.250, 0.750, 0.250], [0.250, 0.750, 0.750], [0.750, 0.250, 0.250], [0.750, 0.250, 0.750], [0.750, 0.750, 0.250], [0.750, 0.750, 0.750]]
}

=====

# 2
{
  "formula": "ZrAl2GaAu",
  "functional": "GGA-PBEsol",
  "state": "optimized geometry",
  "sg": "No. 123",
  "dft_energy_ev_per_fu": -22.52,
  "cell": [[4.749, 0.000, 0.000], [0.000, 4.749, 0.000], [0.000, 0.000, 4.777]],
  "species": ["Zr", "Al", "Al", "Ga", "Au"],
  "fractional_positions": [[0.000, 0.000, 0.000], [0.000, 0.500, 0.500], [0.500, 0.000, 0.500], [0.500, 0.500, 0.000], [0.500, 0.500, 0.500]]
}

=====

# 3
{
  "formula": "CrCu2P",
  "functional": "GGA-PBEsol",
  "state": "optimized geometry",
  "sg": "No. 38",
  "dft_energy_ev_per_fu": -24.90,
  "cell": [[3.372, 0.000, 0.000], [0.000, 2.783, 0.000], [0.000, 0.000, 10.099]],
  "species": ["Cr", "Cr", "Cu", "Cu", "Cu", "Cu", "P", "P"],
  "fractional_positions": [[0.000, 0.000, 0.000], [0.000, 0.500, 0.500], [0.000, 0.000, 0.267], [0.000, 0.500, 0.767], [0.500, 0.000, 0.654], [0.500, 0.500, 0.154], [0.500, 0.000, 0.422], [0.500, 0.500, 0.922]]
}

=====

# 4
{
  "formula": "TaMnMo",
  "functional": "GGA-PBEsol",
  "state": "optimized geometry",
  "sg": "No. 216",
  "dft_energy_ev_per_fu": -31.08,
  "cell": [[5.909, 0.000, 0.000], [0.000, 5.909, 0.000], [0.000, 0.000, 5.909]],
  "species": ["Ta", "Ta", "Ta", "Ta", "Mn", "Mn", "Mn", "Mn", "Mo", "Mo", "Mo", "Mo"],
  "fractional_positions": [[0.000, 0.000, 0.000], [0.000, 0.500, 0.500], [0.500, 0.000, 0.500], [0.500, 0.500, 0.000], [0.000, 0.000, 0.500], [0.000, 0.500, 0.000], [0.500, 0.000, 0.000], [0.500, 0.500, 0.500], [0.250, 0.250, 0.250], [0.250, 0.750, 0.750], [0.750, 0.250, 0.750], [0.750, 0.750, 0.250]]
}

=====

# 5
{
  "formula": "LiTeMo2",
  "functional": "GGA-PBEsol",
  "state": "optimized geometry",
  "sg": "No. 12",
  "dft_energy_ev_per_fu": -27.85,
  "raw_formation_energy_ev_per_atom": 0.294,
  "cell": [[9.586, 0.000, 0.000], [0.000, 3.344, 0.000], [-1.332, 0.000, 3.986]],
  "species": ["Li", "Li", "Te", "Te", "Mo", "Mo", "Mo", "Mo"],
  "fractional_positions": [[0.000, 0.000, 0.000], [0.500, 0.500, 0.000], [0.000, 0.500, 0.500], [0.500, 0.000, 0.500], [0.250, 0.000, 0.756], [0.250, 0.500, 0.244], [0.750, 0.000, 0.244], [0.750, 0.500, 0.756]]
}

=====

# 6
{
  "formula": "Re2TcBr",
  "functional": "GGA-PBEsol",
  "state": "optimized geometry",
  "sg": "No. 123",
  "dft_energy_ev_per_fu": -34.04,
  "raw_formation_energy_ev_per_atom": 1.441,
  "cell": [[3.710, 0.000, 0.000], [0.000, 3.710, 0.000], [0.000, 0.000, 4.474]],
  "species": ["Re", "Re", "Tc", "Br"],
  "fractional_positions": [[0.000, 0.500, 0.000], [0.500, 0.000, 0.000], [0.000, 0.000, 0.500], [0.500, 0.500, 0.500]]
}

=====

# 7
{
  "formula": "Ta2Ti2Ni2C",
  "functional": "GGA-PBEsol",
  "state": "optimized geometry",
  "sg": "No. 119",
  "dft_energy_ev_per_fu": -67.26,
  "cell": [[-4.044, 4.044, 5.678], [4.044, -4.044, 5.678], [4.044, 4.044, -5.678]],
  "species": ["Ta", "Ta", "Ta", "Ta", "Ta", "Ta", "Ta", "Ta", "Ti", "Ti", "Ti", "Ti", "Ti", "Ti", "Ti", "Ti", "Ni", "Ni", "Ni", "Ni", "Ni", "Ni", "Ni", "Ni", "C", "C", "C", "C"],
  "fractional_positions": [[0.185, 0.185, 0.000], [0.565, 0.065, 0.500], [0.567, 0.067, 0.134], [0.567, 0.433, 0.500], [0.815, 0.815, 0.000], [0.933, 0.067, 0.500], [0.933, 0.433, 0.866], [0.935, 0.435, 0.500], [0.185, 0.185, 0.369], [0.185, 0.815, 0.000], [0.373, 0.122, 0.749], [0.373, 0.624, 0.251], [0.376, 0.627, 0.749], [0.815, 0.185, 0.000], [0.815, 0.815, 0.631], [0.878, 0.627, 0.251], [0.162, 0.490, 0.328], [0.162, 0.834, 0.672], [0.166, 0.838, 0.328], [0.260, 0.420, 0.840], [0.510, 0.838, 0.672], [0.580, 0.420, 0.160], [0.580, 0.420, 0.840], [0.580, 0.740, 0.160], [0.371, 0.122, 0.249], [0.873, 0.122, 0.751], [0.878, 0.127, 0.249], [0.878, 0.629, 0.751]]
}

=====

# 8
{
  "formula": "RbH2O2F",
  "functional": "GGA-PBEsol",
  "state": "optimized geometry",
  "sg": "No. 113",
  "dft_energy_ev_per_fu": -27.95,
  "cell": [[11.909, 0.000, 0.000], [0.000, 11.909, 0.000], [0.000, 0.000, 4.410]],
  "species": ["Rb", "Rb", "Rb", "Rb", "Rb", "Rb", "Rb", "Rb", "H", "H", "H", "H", "H", "H", "H", "H", "H", "H", "H", "H", "H", "H", "H", "H", "O", "O", "O", "O", "O", "O", "O", "O", "O", "O", "O", "O", "O", "O", "O", "O", "F", "F", "F", "F", "F", "F", "F", "F"],
  "fractional_positions": [[0.000, 0.000, 0.000], [0.000, 0.500, 0.268], [0.237, 0.737, 0.255], [0.263, 0.237, 0.745], [0.500, 0.000, 0.732], [0.500, 0.500, 0.000], [0.737, 0.763, 0.745], [0.763, 0.263, 0.255], [0.041, 0.713, 0.733], [0.070, 0.260, 0.298], [0.213, 0.541, 0.733], [0.240, 0.430, 0.298], [0.260, 0.930, 0.702], [0.287, 0.041, 0.267], [0.430, 0.760, 0.702], [0.459, 0.213, 0.267], [0.541, 0.787, 0.267], [0.570, 0.240, 0.702], [0.713, 0.959, 0.267], [0.740, 0.070, 0.702], [0.760, 0.570, 0.298], [0.787, 0.459, 0.733], [0.930, 0.740, 0.298], [0.959, 0.287, 0.733], [0.000, 0.215, 0.355], [0.000, 0.785, 0.355], [0.007, 0.218, 0.685], [0.215, 0.000, 0.645], [0.218, 0.993, 0.315], [0.282, 0.493, 0.685], [0.285, 0.500, 0.355], [0.493, 0.718, 0.315], [0.500, 0.285, 0.645], [0.500, 0.715, 0.645], [0.507, 0.282, 0.315], [0.715, 0.500, 0.355], [0.718, 0.507, 0.685], [0.782, 0.007, 0.315], [0.785, 0.000, 0.645], [0.993, 0.782, 0.685], [0.111, 0.611, 0.784], [0.167, 0.333, 0.236], [0.333, 0.833, 0.764], [0.389, 0.111, 0.216], [0.611, 0.889, 0.216], [0.667, 0.167, 0.764], [0.833, 0.667, 0.236], [0.889, 0.389, 0.784]]
}

=====

Number 1: magnetic moment 4.64 μB/cell. Number 2: magnetic moment 0.00 μB/cell. Number 3: magnetic moment 3.12 μB/cell. Number 4: magnetic moment 4.25 μB/cell. Number 5: magnetic moment 0.00 μB/cell. Number 6: magnetic moment 0.00 μB/cell. Number 7: magnetic moment 0.00 μB/cell. Number 8: magnetic moment 0.00 μB/cell.